No. 1
# Mg3AuO, optimized geometry, DFT GGA-PBE
# - N(E_F): 3.6 states/eV/f.u.
# - Total magnetic moment: 0.000 μB/cell
# - Space-group type: Pm-3m, No. 221
# - Raw total energy: -2.47 eV/atom
# - V: 25.1 Å³/atom
# - Distance to the lowest polymorph of the same formula: 1359 meV per atom
data_Mg3AuO
_cell_length_a 5.009
_cell_length_b 5.009
_cell_length_c 5.009
_cell_angle_alpha 90.00
_cell_angle_beta 90.00
_cell_angle_gamma 90.00
_space_group_name_H-M_alt 'P 1'
_space_group_IT_number 1
loop_
_space_group_symop_operation_xyz
'x,y,z'
loop_
_atom_site_label
_atom_site_type_symbol
_atom_site_fract_x
_atom_site_fract_y
_atom_site_fract_z
Mg1 Mg 0.000 0.000 0.500
Mg2 Mg 0.000 0.500 0.000
Mg3 Mg 0.500 0.000 0.000
Au1 Au 0.000 0.000 0.000
O1 O 0.500 0.500 0.500

***

No. 2
# Mg4Au2O, optimized geometry, DFT GGA-PBE
# - N(E_F): 1.9 states/eV/f.u.
# - Total magnetic moment: 0.000 μB/cell
# - Space-group type: I4/mmm, No. 139
# - Raw total energy: -3.54 eV/atom
# - V: 17.4 Å³/atom
data_Mg4Au2O
_cell_length_a 4.084
_cell_length_b 4.084
_cell_length_c 14.590
_cell_angle_alpha 90.00
_cell_angle_beta 90.00
_cell_angle_gamma 90.00
_space_group_name_H-M_alt 'P 1'
_space_group_IT_number 1
loop_
_space_group_symop_operation_xyz
'x,y,z'
loop_
_atom_site_label
_atom_site_type_symbol
_atom_site_fract_x
_atom_site_fract_y
_atom_site_fract_z
Mg1 Mg 0.000 0.000 0.170
Mg2 Mg 0.000 0.000 0.830
Mg3 Mg 0.000 0.500 0.000
Mg4 Mg 0.000 0.500 0.500
Mg5 Mg 0.500 0.000 0.000
Mg6 Mg 0.500 0.000 0.500
Mg7 Mg 0.500 0.500 0.330
Mg8 Mg 0.500 0.500 0.670
Au1 Au 0.000 0.000 0.359
Au2 Au 0.000 0.000 0.641
Au3 Au 0.500 0.500 0.141
Au4 Au 0.500 0.500 0.859
O1 O 0.000 0.000 0.000
O2 O 0.500 0.500 0.500

***

No. 3
# Mg3AuO, optimized geometry, DFT GGA-PBE
# - N(E_F): 1.7 states/eV/f.u.
# - Total magnetic moment: 0.000 μB/cell
# - Space-group type: Pm-3m, No. 221
# - Raw total energy: -3.83 eV/atom
# - V: 15.3 Å³/atom
# - Distance to the lowest polymorph of the same formula: 0 meV per atom
data_Mg3AuO
_cell_length_a 4.248
_cell_length_b 4.248
_cell_length_c 4.248
_cell_angle_alpha 90.00
_cell_angle_beta 90.00
_cell_angle_gamma 90.00
_space_group_name_H-M_alt 'P 1'
_space_group_IT_number 1
loop_
_space_group_symop_operation_xyz
'x,y,z'
loop_
_atom_site_label
_atom_site_type_symbol
_atom_site_fract_x
_atom_site_fract_y
_atom_site_fract_z
Mg1 Mg 0.000 0.000 0.500
Mg2 Mg 0.000 0.500 0.000
Mg3 Mg 0.500 0.000 0.000
Au1 Au 0.500 0.500 0.500
O1 O 0.000 0.000 0.000

***

No. 4
# MgAu3O, optimized geometry, DFT GGA-PBE
# - N(E_F): 7.7 states/eV/f.u.
# - Total magnetic moment: 0.000 μB/cell
# - Space-group type: Pm-3m, No. 221
# - Raw total energy: -2.20 eV/atom
# - V: 23.2 Å³/atom
# - Distance to the lowest polymorph of the same formula: 886 meV per atom
data_MgAu3O
_cell_length_a 4.878
_cell_length_b 4.878
_cell_length_c 4.878
_cell_angle_alpha 90.00
_cell_angle_beta 90.00
_cell_angle_gamma 90.00
_space_group_name_H-M_alt 'P 1'
_space_group_IT_number 1
loop_
_space_group_symop_operation_xyz
'x,y,z'
loop_
_atom_site_label
_atom_site_type_symbol
_atom_site_fract_x
_atom_site_fract_y
_atom_site_fract_z
Mg1 Mg 0.000 0.000 0.000
Au1 Au 0.000 0.000 0.500
Au2 Au 0.000 0.500 0.000
Au3 Au 0.500 0.000 0.000
O1 O 0.500 0.500 0.500

***

No. 5
# Pm2MgAuO5, optimized geometry, DFT GGA-PBE
# - N(E_F): 3.0 states/eV/f.u.
# - Total magnetic moment: 1.983 μB/cell
# - Space-group type: P4/mbm, No. 127
# - Raw total energy: -6.31 eV/atom
# - V: 14.9 Å³/atom
data_Pm2MgAuO5
_cell_length_a 6.669
_cell_length_b 6.669
_cell_length_c 6.047
_cell_angle_alpha 90.00
_cell_angle_beta 90.00
_cell_angle_gamma 90.00
_space_group_name_H-M_alt 'P 1'
_space_group_IT_number 1
loop_
_space_group_symop_operation_xyz
'x,y,z'
loop_
_atom_site_label
_atom_site_type_symbol
_atom_site_fract_x
_atom_site_fract_y
_atom_site_fract_z
Pm1 Pm 0.171 0.329 0.000
Pm2 Pm 0.329 0.829 0.000
Pm3 Pm 0.671 0.171 0.000
Pm4 Pm 0.829 0.671 0.000
Mg1 Mg 0.000 0.000 0.500
Mg2 Mg 0.500 0.500 0.500
Au1 Au 0.000 0.500 0.500
Au2 Au 0.500 0.000 0.500
O1 O 0.000 0.000 0.000
O2 O 0.151 0.651 0.245
O3 O 0.151 0.651 0.755
O4 O 0.349 0.151 0.245
O5 O 0.349 0.151 0.755
O6 O 0.500 0.500 0.000
O7 O 0.651 0.849 0.245
O8 O 0.651 0.849 0.755
O9 O 0.849 0.349 0.245
O10 O 0.849 0.349 0.755

***

No. 6
# PuMgAuO6, optimized geometry, DFT GGA-PBE
# - N(E_F): 5.1 states/eV/f.u.
# - Total magnetic moment: 3.310 μB/cell
# - Space-group type: P-31c, No. 163
# - Raw total energy: -7.01 eV/atom
# - V: 12.6 Å³/atom
data_PuMgAuO6
_cell_length_a 5.366
_cell_length_b 5.366
_cell_length_c 9.059
_cell_angle_alpha 90.00
_cell_angle_beta 90.00
_cell_angle_gamma 120.00
_space_group_name_H-M_alt 'P 1'
_space_group_IT_number 1
loop_
_space_group_symop_operation_xyz
'x,y,z'
loop_
_atom_site_label
_atom_site_type_symbol
_atom_site_fract_x
_atom_site_fract_y
_atom_site_fract_z
Pu1 Pu 0.333 0.667 0.250
Pu2 Pu 0.667 0.333 0.750
Mg1 Mg 0.333 0.667 0.750
Mg2 Mg 0.667 0.333 0.250
Au1 Au 0.000 0.000 0.000
Au2 Au 0.000 0.000 0.500
O1 O 0.012 0.352 0.131
O2 O 0.012 0.660 0.369
O3 O 0.340 0.352 0.369
O4 O 0.340 0.988 0.131
O5 O 0.352 0.012 0.631
O6 O 0.352 0.340 0.869
O7 O 0.648 0.660 0.131
O8 O 0.648 0.988 0.369
O9 O 0.660 0.012 0.869
O10 O 0.660 0.648 0.631
O11 O 0.988 0.340 0.631
O12 O 0.988 0.648 0.869

***

No. 7
# PuMgAu2O8, optimized geometry, DFT GGA-PBE
# - N(E_F): 0.8 states/eV/f.u.
# - Total magnetic moment: 0.034 μB/cell
# - Space-group type: I-4m2, No. 119
# - Raw total energy: -6.10 eV/atom
# - V: 13.4 Å³/atom
data_PuMgAu2O8
_cell_length_a 5.946
_cell_length_b 5.946
_cell_length_c 5.946
_cell_angle_alpha 112.64
_cell_angle_beta 112.64
_cell_angle_gamma 103.30
_space_group_name_H-M_alt 'P 1'
_space_group_IT_number 1
loop_
_space_group_symop_operation_xyz
'x,y,z'
loop_
_atom_site_label
_atom_site_type_symbol
_atom_site_fract_x
_atom_site_fract_y
_atom_site_fract_z
Pu1 Pu 0.000 0.000 0.000
Mg1 Mg 0.750 0.250 0.500
Au1 Au 0.250 0.750 0.500
Au2 Au 0.500 0.500 0.000
O1 O 0.016 0.310 0.294
O2 O 0.016 0.722 0.706
O3 O 0.107 0.287 0.820
O4 O 0.278 0.984 0.294
O5 O 0.467 0.287 0.180
O6 O 0.690 0.984 0.706
O7 O 0.713 0.533 0.820
O8 O 0.713 0.893 0.180

***

No. 8
# Rb2MgAuO4, optimized geometry, DFT GGA-PBE
# - N(E_F): 5.1 states/eV/f.u.
# - Total magnetic moment: 2.078 μB/cell
# - Space-group type: Fddd, No. 70
# - Raw total energy: -4.39 eV/atom
# - V: 26.3 Å³/atom
data_Rb2MgAuO4
_cell_length_a 12.304
_cell_length_b 10.511
_cell_length_c 7.642
_cell_angle_alpha 83.75
_cell_angle_beta 58.12
_cell_angle_gamma 38.13
_space_group_name_H-M_alt 'P 1'
_space_group_IT_number 1
loop_
_space_group_symop_operation_xyz
'x,y,z'
loop_
_atom_site_label
_atom_site_type_symbol
_atom_site_fract_x
_atom_site_fract_y
_atom_site_fract_z
Rb1 Rb 0.053 0.053 0.697
Rb2 Rb 0.303 0.303 0.947
Rb3 Rb 0.697 0.697 0.053
Rb4 Rb 0.947 0.947 0.303
Mg1 Mg 0.125 0.125 0.125
Mg2 Mg 0.875 0.875 0.875
Au1 Au 0.375 0.375 0.375
Au2 Au 0.625 0.625 0.625
O1 O 0.027 0.719 0.533
O2 O 0.222 0.533 0.719
O3 O 0.281 0.973 0.778
O4 O 0.467 0.778 0.973
O5 O 0.533 0.222 0.027
O6 O 0.719 0.027 0.222
O7 O 0.778 0.467 0.281
O8 O 0.973 0.281 0.467

***

Repeat the seventh record exactly.
# PuMgAu2O8, optimized geometry, DFT GGA-PBE
# - N(E_F): 0.8 states/eV/f.u.
# - Total magnetic moment: 0.034 μB/cell
# - Space-group type: I-4m2, No. 119
# - Raw total energy: -6.10 eV/atom
# - V: 13.4 Å³/atom
data_PuMgAu2O8
_cell_length_a 5.946
_cell_length_b 5.946
_cell_length_c 5.946
_cell_angle_alpha 112.64
_cell_angle_beta 112.64
_cell_angle_gamma 103.30
_space_group_name_H-M_alt 'P 1'
_space_group_IT_number 1
loop_
_space_group_symop_operation_xyz
'x,y,z'
loop_
_atom_site_label
_atom_site_type_symbol
_atom_site_fract_x
_atom_site_fract_y
_atom_site_fract_z
Pu1 Pu 0.000 0.000 0.000
Mg1 Mg 0.750 0.250 0.500
Au1 Au 0.250 0.750 0.500
Au2 Au 0.500 0.500 0.000
O1 O 0.016 0.310 0.294
O2 O 0.016 0.722 0.706
O3 O 0.107 0.287 0.820
O4 O 0.278 0.984 0.294
O5 O 0.467 0.287 0.180
O6 O 0.690 0.984 0.706
O7 O 0.713 0.533 0.820
O8 O 0.713 0.893 0.180